(1)
VASP calculation (PBE-GGA) on a geometry-optimized SmErCo structure.

Cell and atoms, written as POSCAR:
```
SmErCo
1.0
-3.472 -3.047 -0.775
-2.723 -1.400 3.545
-4.458 1.420 0.231
Co Er Sm
1 1 1
direct
0.250 0.250 0.250 Co
0.750 0.750 0.750 Er
0.000 0.000 0.000 Sm
```

Symmetry: No. 216
Uncorrected energy (eV/cell): -13.92
Energy of formation from the pure elements (eV/atom): 0.82

***

(2)
VASP calculation (PBE-GGA) on a geometry-optimized Lu2Pt structure.

Cell and atoms, written as POSCAR:
```
Lu2Pt
1.0
-0.428 6.968 0.180
-4.549 -0.255 -0.963
-1.757 -0.325 8.382
Lu Pt
8 4
direct
0.645 0.250 0.078 Lu
0.989 0.750 0.169 Lu
0.489 0.750 0.331 Lu
0.145 0.250 0.422 Lu
0.855 0.750 0.578 Lu
0.511 0.250 0.669 Lu
0.011 0.250 0.831 Lu
0.355 0.750 0.922 Lu
0.242 0.250 0.096 Pt
0.742 0.250 0.404 Pt
0.258 0.750 0.596 Pt
0.758 0.750 0.904 Pt
```

Symmetry: No. 62
Uncorrected energy (eV/cell): -72.65
Energy of formation from the pure elements (eV/atom): -1.02

***

(3)
VASP calculation (PBE-GGA) on a geometry-optimized Li4FeAgGe2 structure.

Cell and atoms, written as POSCAR:
```
Li4FeAgGe2
1.0
4.262 0.000 0.000
0.000 4.262 0.000
0.000 0.000 6.175
Ag Fe Ge Li
1 1 2 4
direct
0.000 0.000 0.000 Ag
0.500 0.500 0.500 Fe
0.500 0.000 0.283 Ge
0.000 0.500 0.717 Ge
0.500 0.500 0.000 Li
0.000 0.500 0.262 Li
0.000 0.000 0.500 Li
0.500 0.000 0.738 Li
```

Symmetry: No. 115
Uncorrected energy (eV/cell): -29.93

***

(4)
VASP calculation (PBE-GGA) on a geometry-optimized TmLuTa structure.

Cell and atoms, written as POSCAR:
```
TmLuTa
1.0
0.000 3.492 3.492
3.492 0.000 3.492
3.492 3.492 0.000
Lu Ta Tm
1 1 1
direct
0.000 0.000 0.000 Lu
0.250 0.250 0.250 Ta
0.750 0.750 0.750 Tm
```

Symmetry: No. 216
Uncorrected energy (eV/cell): -17.05
Energy of formation from the pure elements (eV/atom): 1.27